Below is a relaxed structure of Sm2CuAuO5, with properties calculated at the PBE level.

Cell: 3.5650 6.7457 10.6514 Å, 90.00 90.00 105.32°
Closest atoms and distances in Å follow each position.
Fractional coordinates of all 18 atoms:
Au 0.5512 0.1023 0.9713  3 O 2.12-2.37
Sm 0.1064 0.2128 0.6915  6 O 2.33-2.60
Sm 0.8633 0.7267 0.8322  6 O 2.23-2.49
Sm 0.8936 0.7872 0.1915  6 O 2.33-2.60
Cu 0.7850 0.5701 0.5544  4 O 1.85-1.94
O 0.3526 0.7052 0.9950  1 Cu 1.90
Au 0.4488 0.8977 0.4713  3 O 2.12-2.37
O 0.0746 0.1492 0.1155  1 Cu 1.94
Sm 0.1367 0.2733 0.3322  6 O 2.23-2.49
Cu 0.2150 0.4299 0.0544  4 O 1.85-1.94
O 0.7290 0.4580 0.0972  2 Cu 1.85
O 0.9254 0.8508 0.6155  1 Cu 1.94
O 0.6474 0.2948 0.4950  1 Cu 1.90
O 0.2710 0.5420 0.5972  2 Cu 1.85
O 0.4844 0.9688 0.7894  1 Au 2.12
O 0.5156 0.0312 0.2894  1 Au 2.12
O 0.6978 0.3956 0.7775  3 Sm 2.23-2.33
O 0.3022 0.6044 0.2775  3 Sm 2.23-2.33



Below is a relaxed structure of Sr3CuAu2O6, with properties calculated at the PBE level.

Cell: 5.7019 5.7019 6.4887 Å, 90.00 90.00 120.00°
Closest atoms and distances in Å follow each position.
Fractional coordinates of all 12 atoms:
Cu 0.0000 0.0000 0.5000  6 O 1.97
Sr 0.6667 0.3333 0.3838  3 O 2.57
O 0.8391 0.6782 0.6801  1 Cu 1.97, 1 Au 2.19
Au 0.6667 0.3333 0.8926  3 O 2.19
Au 0.3333 0.6667 0.1074  3 O 2.19
Sr 0.3333 0.6667 0.6162  3 O 2.57
O 0.3218 0.1609 0.6801  1 Cu 1.97, 1 Au 2.19
O 0.1609 0.8391 0.3199  1 Cu 1.97, 1 Au 2.19
Sr 0.0000 0.0000 0.0000  6 O 2.61
O 0.8391 0.1609 0.6801  1 Cu 1.97, 1 Au 2.19
O 0.1609 0.3218 0.3199  1 Cu 1.97, 1 Au 2.19
O 0.6782 0.8391 0.3199  1 Cu 1.97, 1 Au 2.19



Below is a relaxed structure of CuTeAu2O8, with properties calculated at the PBE level.

Cell: 5.7924 5.7924 5.7924 Å, 112.66 112.66 103.26°
Closest atoms and distances in Å follow each position.
Fractional coordinates of all 12 atoms:
Au 0.7500 0.2500 0.5000  4 O 2.06
O 0.2774 0.0859 0.8085  1 Te 1.99, 1 Au 2.02
Te 0.2500 0.7500 0.5000  4 O 1.99
O 0.9141 0.7226 0.1915  1 Te 1.99, 1 Au 2.02
O 0.5311 0.7226 0.8085  1 Te 1.99, 1 Au 2.02
O 0.3308 0.0177 0.3131  1 Cu 2.01, 1 Au 2.06
Au 0.5000 0.5000 0.0000  4 O 2.02
O 0.9823 0.6692 0.6869  1 Cu 2.01, 1 Au 2.06
O 0.7047 0.0177 0.6869  1 Cu 2.01, 1 Au 2.06
O 0.9823 0.2953 0.3131  1 Cu 2.01, 1 Au 2.06
O 0.2774 0.4689 0.1915  1 Te 1.99, 1 Au 2.02
Cu 0.0000 0.0000 0.0000  4 O 2.01



Below is a relaxed structure of TlCuAu2O6, with properties calculated at the PBE level.

Cell: 7.6130 6.7852 6.7852 Å, 58.96 78.33 78.33°
Closest atoms and distances in Å follow each position.
Fractional coordinates of all 20 atoms:
O 0.1585 0.5071 0.3314  1 Cu 1.88, 1 Au 2.01
O 0.6505 0.7445 0.1056  1 Cu 1.88, 1 Au 2.03
O 0.6585 0.3314 0.5071  1 Cu 1.88, 1 Au 2.01
Cu 0.2500 0.3842 0.6158  4 O 1.88
Au 0.7556 0.1110 0.3852  4 O 2.00-2.03
O 0.1413 0.0923 0.3110  2 Au 2.00-2.01
Au 0.7444 0.6148 0.8890  4 O 2.00-2.03
Au 0.2556 0.3852 0.1110  4 O 2.00-2.03
O 0.8587 0.9077 0.6890  2 Au 2.00-2.01
O 0.3415 0.6686 0.4929  1 Cu 1.88, 1 Au 2.01
O 0.3495 0.2555 0.8944  1 Cu 1.88, 1 Au 2.03
O 0.8415 0.4929 0.6686  1 Cu 1.88, 1 Au 2.01
Tl 0.7500 0.1220 0.8780  6 O 2.33-2.40
O 0.1505 0.1056 0.7445  1 Cu 1.88, 1 Au 2.03
Tl 0.2500 0.8780 0.1220  6 O 2.33-2.40
Au 0.2444 0.8890 0.6148  4 O 2.00-2.03
O 0.6413 0.3110 0.0923  2 Au 2.00-2.01
Cu 0.7500 0.6158 0.3842  4 O 1.88
O 0.8495 0.8944 0.2555  1 Cu 1.88, 1 Au 2.03
O 0.3587 0.6890 0.9077  2 Au 2.00-2.01



Below is a relaxed structure of TlCuAuO4, with properties calculated at the PBE level.

Cell: 6.1970 6.7456 6.4392 Å, 118.51 90.00 117.34°
Closest atoms and distances in Å follow each position.
Fractional coordinates of all 14 atoms:
Tl 0.5000 0.0000 0.5000  4 O 2.24
Cu 0.1390 0.2780 0.8890  2 O 1.87
O 0.7535 0.5069 0.2897  2 Au 2.07, 1 Cu 2.14
Au 0.5000 0.5000 0.5000  4 O 2.07
O 0.2465 0.4931 0.7103  2 Au 2.07, 1 Cu 2.14
O 0.2465 0.4931 0.2828  2 Au 2.07, 1 Cu 2.14
Au 0.0000 0.5000 0.5000  4 O 2.07
O 0.3058 0.0904 0.7952  1 Cu 1.87
Cu 0.8610 0.7220 0.1110  2 O 1.87
O 0.7846 0.0904 0.7952  1 Cu 1.87
Tl 0.5000 0.0000 0.0000  4 O 2.24
O 0.2154 0.9096 0.2048  1 Cu 1.87
O 0.6942 0.9096 0.2048  1 Cu 1.87
O 0.7535 0.5069 0.7172  2 Au 2.07, 1 Cu 2.14



Below is a relaxed structure of YCu4Au3O12, with properties calculated at the PBE level.

Cell: 6.5379 6.5379 6.5379 Å, 109.47 109.47 109.47°
Closest atoms and distances in Å follow each position.
Fractional coordinates of all 20 atoms:
Au 0.0000 0.5000 0.5000  4 O 2.04
O 0.8266 0.1197 0.2930  2 Cu 2.00, 1 Au 2.04
O 0.2930 0.8266 0.1197  2 Cu 2.00, 1 Au 2.04
Cu 0.5000 0.5000 0.5000  6 O 2.00
O 0.7070 0.1734 0.8803  2 Cu 2.00, 1 Au 2.04
O 0.7070 0.8266 0.5336  2 Cu 2.00, 1 Au 2.04
O 0.1734 0.8803 0.7070  2 Cu 2.00, 1 Au 2.04
O 0.1197 0.2930 0.8266  2 Cu 2.00, 1 Au 2.04
Cu 0.0000 0.5000 0.0000  6 O 2.00
Cu 0.5000 0.0000 0.0000  6 O 2.00
O 0.8266 0.5336 0.7070  2 Cu 2.00, 1 Au 2.04
Au 0.5000 0.0000 0.5000  4 O 2.04
Au 0.5000 0.5000 0.0000  4 O 2.04
O 0.1734 0.4664 0.2930  2 Cu 2.00, 1 Au 2.04
O 0.2930 0.1734 0.4664  2 Cu 2.00, 1 Au 2.04
O 0.4664 0.2930 0.1734  2 Cu 2.00, 1 Au 2.04
O 0.8803 0.7070 0.1734  2 Cu 2.00, 1 Au 2.04
O 0.5336 0.7070 0.8266  2 Cu 2.00, 1 Au 2.04
Cu 0.0000 0.0000 0.5000  6 O 2.00
Y 0.0000 0.0000 0.0000  12 O 2.57



Below is a relaxed structure of YCuAuO4, with properties calculated at the PBE level.

Cell: 6.2167 7.1301 7.1093 Å, 119.90 90.00 115.85°
Closest atoms and distances in Å follow each position.
Fractional coordinates of all 14 atoms:
Cu 0.9440 0.8880 0.1940  2 O 1.75
O 0.2846 0.5691 0.3526  2 Au 2.06
O 0.2454 0.9328 0.2164  1 Cu 1.75
Cu 0.0560 0.1120 0.8060  2 O 1.75
O 0.3127 0.0672 0.7836  1 Cu 1.75
O 0.7546 0.0672 0.7836  1 Cu 1.75
Y 0.5000 0.0000 0.0000  6 O 2.27-2.35
O 0.2846 0.5691 0.7165  2 Au 2.06
O 0.6873 0.9328 0.2164  1 Cu 1.75
Au 0.5000 0.5000 0.5000  4 O 2.06
Y 0.5000 0.0000 0.5000  6 O 2.27-2.35
O 0.7154 0.4309 0.6474  2 Au 2.06
Au 0.0000 0.5000 0.5000  4 O 2.06
O 0.7154 0.4309 0.2835  2 Au 2.06



Below is a relaxed structure of Y2CuAuO5, with properties calculated at the PBE level.

Cell: 3.4442 6.5832 11.2921 Å, 90.00 90.00 105.16°
Closest atoms and distances in Å follow each position.
Fractional coordinates of all 18 atoms:
O 0.3968 0.7936 0.0523  1 Cu 1.92, 1 Au 2.05
O 0.3572 0.7143 0.3200  1 Au 2.04, 1 Y 2.26
Y 0.0716 0.1432 0.6923  5 O 2.21-2.42
O 0.9019 0.8038 0.5703  1 Cu 1.95
Cu 0.7527 0.5055 0.5289  2 O 1.92-1.95
O 0.6428 0.2857 0.8200  1 Au 2.04, 1 Y 2.26
Au 0.4745 0.9489 0.4432  3 O 2.04-2.13
Y 0.1860 0.3720 0.2651  5 O 2.20-2.38
O 0.0981 0.1962 0.0703  1 Cu 1.95
O 0.4424 0.8849 0.7793  1 Au 2.13, 2 Y 2.38
Au 0.5255 0.0511 0.9432  3 O 2.04-2.13
O 0.5576 0.1151 0.2793  1 Au 2.13, 2 Y 2.38
O 0.6032 0.2064 0.5523  1 Cu 1.92, 1 Au 2.05
O 0.7554 0.5109 0.1727  3 Y 2.20-2.21, 2 Cu 2.37
Y 0.8140 0.6280 0.7651  5 O 2.20-2.38
Y 0.9284 0.8568 0.1923  5 O 2.21-2.42
Cu 0.2473 0.4945 0.0289  2 O 1.92-1.95
O 0.2446 0.4891 0.6727  3 Y 2.20-2.21, 2 Cu 2.37



Below is a relaxed structure of ZnCuAu2O6, with properties calculated at the PBE level.

Cell: 5.7901 7.0305 7.0305 Å, 64.45 75.83 75.83°
Closest atoms and distances in Å follow each position.
Fractional coordinates of all 20 atoms:
Au 0.2690 0.8781 0.6024  4 O 1.98-2.07
O 0.7907 0.7931 0.5629  2 Au 2.03-2.07
Cu 0.2500 0.2935 0.7065  4 O 1.88-2.10
O 0.0856 0.6268 0.2331  1 Cu 1.88, 1 Au 2.00, 1 Zn 2.01
Zn 0.7500 0.1164 0.8836  6 O 2.01-2.24
Zn 0.2500 0.8836 0.1164  6 O 2.01-2.24
O 0.9144 0.3732 0.7669  1 Cu 1.88, 1 Au 2.00, 1 Zn 2.01
Au 0.2310 0.3976 0.1219  4 O 1.98-2.07
O 0.7093 0.4371 0.2069  2 Au 2.03-2.07
O 0.2907 0.5629 0.7931  2 Au 2.03-2.07
Cu 0.7500 0.7065 0.2935  4 O 1.88-2.10
Au 0.7310 0.1219 0.3976  4 O 1.98-2.07
O 0.1445 0.9924 0.8268  1 Au 1.98, 1 Zn 2.04, 1 Cu 2.10
O 0.2093 0.2069 0.4371  2 Au 2.03-2.07
O 0.6445 0.8268 0.9924  1 Au 1.98, 1 Zn 2.04, 1 Cu 2.10
Au 0.7690 0.6024 0.8781  4 O 1.98-2.07
O 0.8555 0.0076 0.1732  1 Au 1.98, 1 Zn 2.04, 1 Cu 2.10
O 0.4144 0.7669 0.3732  1 Cu 1.88, 1 Au 2.00, 1 Zn 2.01
O 0.3555 0.1732 0.0076  1 Au 1.98, 1 Zn 2.04, 1 Cu 2.10
O 0.5856 0.2331 0.6268  1 Cu 1.88, 1 Au 2.00, 1 Zn 2.01



Below is a relaxed structure of ZnCuAuO4, with properties calculated at the PBE level.

Cell: 5.5168 7.2088 5.8349 Å, 113.87 90.00 112.50°
Closest atoms and distances in Å follow each position.
Fractional coordinates of all 14 atoms:
Cu 0.5000 0.5000 0.5000  4 O 1.86
Au 0.5000 0.0000 0.0000  4 O 2.02
Zn 0.8522 0.7044 0.1022  4 O 1.98-1.99
Zn 0.1478 0.2956 0.8978  4 O 1.98-1.99
O 0.7615 0.5231 0.2981  2 Cu 1.86, 1 Zn 1.99
O 0.2385 0.4769 0.2750  2 Cu 1.86, 1 Zn 1.99
O 0.7748 0.0641 0.7820  1 Zn 1.98, 2 Au 2.02
Au 0.5000 0.0000 0.5000  4 O 2.02
O 0.2252 0.9359 0.2180  1 Zn 1.98, 2 Au 2.02
O 0.7107 0.9359 0.2180  1 Zn 1.98, 2 Au 2.02
O 0.2893 0.0641 0.7820  1 Zn 1.98, 2 Au 2.02
Cu 0.0000 0.5000 0.5000  4 O 1.86
O 0.2385 0.4769 0.7019  2 Cu 1.86, 1 Zn 1.99
O 0.7615 0.5231 0.7250  2 Cu 1.86, 1 Zn 1.99



Energy relative to the elements, uncorrected, respectively: -16.1 -15.0 0.9 -3.3 -1.7 -13.7 -9.0 -16.2 -2.5 -3.7 eV per formula unit.
Magnetization, respectively: 0.0 0.0 0.0 0.0 2.0 0.0 2.0 0.1 1.8 0.0 Bohr magnetons per cell.